VASP calculation (SCAN) on MnAgSb2 at its PBEsol-relaxed geometry.

Lattice parameters (Å, degrees): 6.992 6.992 6.992 90.00 90.00 90.00
Space group F-43m (No. 216)
Inequivalent atoms, fractional coordinates:
Mn 0.000 0.000 0.000 x4
Ag 0.250 0.250 0.250 x4
Sb 0.000 0.000 0.500 x4
Sb 0.250 0.250 0.750 x4

Output
Total magnetic moment = 4.2 μB per formula unit
ΔE_f (raw) = 303 meV per atom